First-principles (PBE-GGA) data for a geometry-optimized LiPmAlGa2 structure, as listed in the Alexandria database.

The structure in CIF format:
```
data_LiPmAlGa2
_chemical_formula_sum 'Li2 Pm2 Al2 Ga4'
_cell_length_a 4.206
_cell_length_b 4.206
_cell_length_c 11.061
_cell_angle_alpha 90.00
_cell_angle_beta 90.00
_cell_angle_gamma 90.00
_symmetry_space_group_name_H-M 'I -4 m 2'
_symmetry_Int_Tables_number 119
_symmetry_space_group_name_Hall 'I -4 -2'
loop_
_atom_site_label
_atom_site_type_symbol
_atom_site_fract_x
_atom_site_fract_y
_atom_site_fract_z
Li1 Li 0.000 0.000 0.000
Pm1 Pm 0.000 0.500 0.250
Al1 Al 0.000 0.000 0.500
Ga1 Ga 0.000 0.500 0.638
```

The calculated formation energy comes out at -505 meV/atom.